Compound: Pr6Te3PtS2
Source: the Alexandria database
Functional: PBE-GGA
Structure: optimized geometry

It has space group C2/m (No. 12), with a = 7.4760 Å, b = 12.9313 Å, c = 7.6745 Å, α = 90.00°, β = 109.04° and γ = 90.00°. The asymmetric unit holds Pr at (0.2395, 0.0000, 0.2205), Pr at (0.2386, 0.3332, 0.2192), Te at (0.0000, 0.0000, 0.5000), Te at (0.0000, 0.3316, 0.5000), Pt at (0.0000, 0.5000, 0.0000) and S at (0.0000, 0.1658, 0.0000).

As for the total moment: 0.000 μB per atom. As for the density of states at the Fermi level: 4.5 states/eV/f.u. For the mass density, the calculation gives 7.04 g/cm³. The formation energy (no corrections) comes out at -1.582 eV/atom.

Compound: TbSm2Tl3Se6
Source: the Alexandria database
Functional: PBE-GGA
Structure: optimized geometry

It has space group C2/m (No. 12), with a = 7.3624 Å, b = 12.7510 Å, c = 8.1433 Å, α = 90.00°, β = 107.54° and γ = 90.00°. The asymmetric unit holds Tb at (0.0000, 0.0000, 0.0000), Sm at (0.0000, 0.3334, 0.0000), Tl at (0.0000, 0.1676, 0.5000), Tl at (0.0000, 0.5000, 0.5000), Se at (0.2336, 0.1646, 0.2070) and Se at (0.2402, 0.5000, 0.2080).

As for the total moment: 0.000 μB per atom. For the mass density, the calculation gives 7.05 g/cm³. The formation energy (no corrections) comes out at -1.386 eV/atom.

Compound: SiBi3
Source: the Alexandria database
Functional: PBE-GGA
Structure: optimized geometry

It has space group Fm-3m (No. 225), with a = 7.7196 Å, b = 7.7196 Å, c = 7.7196 Å, α = 90.00°, β = 90.00° and γ = 90.00°. The asymmetric unit holds Si at (0.0000, 0.0000, 0.0000), Bi at (0.0000, 0.0000, 0.5000) and Bi at (0.2500, 0.2500, 0.2500).

As for the total moment: 0.000 μB per atom. As for the density of states at the Fermi level: 7.0 states/eV/f.u. For the mass density, the calculation gives 9.46 g/cm³. The formation energy (no corrections) comes out at 0.475 eV/atom.

Compound: Li2RuBr
Source: the Alexandria database
Functional: PBE-GGA
Structure: optimized geometry

It has space group I-42d (No. 122), with a = 7.1163 Å, b = 7.1163 Å, c = 5.1707 Å, α = 90.00°, β = 90.00° and γ = 90.00°. The asymmetric unit holds Li at (0.2291, 0.7500, 0.1250), Ru at (0.0000, 0.0000, 0.5000) and Br at (0.0000, 0.0000, 0.0000).

As for the total moment: 0.256 μB per atom. As for the density of states at the Fermi level: 2.2 states/eV/f.u. The energy above the most stable polymorph in this dataset comes out at 223 meV per atom. For the mass density, the calculation gives 4.94 g/cm³. The formation energy (no corrections) comes out at 0.195 eV/atom.

Compound: Tl5Hg4Sb
Source: the Alexandria database
Functional: PBE-GGA
Structure: optimized geometry

It has space group P4/mmm (No. 123), with a = 3.5112 Å, b = 3.5112 Å, c = 23.7151 Å, α = 90.00°, β = 90.00° and γ = 90.00°. The asymmetric unit holds Tl at (0.0000, 0.0000, 0.0000), Tl at (0.0000, 0.0000, 0.1930), Tl at (0.0000, 0.0000, 0.3981), Hg at (0.5000, 0.5000, 0.0955), Hg at (0.5000, 0.5000, 0.2918) and Sb at (0.5000, 0.5000, 0.5000).

As for the total moment: 0.000 μB per atom. As for the density of states at the Fermi level: 4.5 states/eV/f.u. The energy above the most stable polymorph in this dataset comes out at 0 meV per atom. For the mass density, the calculation gives 11.05 g/cm³. The formation energy (no corrections) comes out at -0.011 eV/atom.

Compound: TmCoC
Source: the Alexandria database
Functional: PBE-GGA
Structure: optimized geometry

It has space group P4/mmm (No. 123), with a = 3.4915 Å, b = 3.4915 Å, c = 3.6025 Å, α = 90.00°, β = 90.00° and γ = 90.00°. The asymmetric unit holds Tm at (0.0000, 0.0000, 0.0000), Co at (0.5000, 0.5000, 0.5000) and C at (0.5000, 0.5000, 0.0000).

As for the total moment: 0.000 μB per atom. As for the density of states at the Fermi level: 1.8 states/eV/f.u. The value obtained for the calculated formation energy is -6.939 kcal/mol of atoms. The energy above the most stable polymorph in this dataset comes out at 57 meV per atom. For the mass density, the calculation gives 9.07 g/cm³.